VASP calculation (PBE-GGA) on crystalline CaGd4Dy at its relaxed geometry.

Cell lengths 6.6717, 6.6717, 6.6717 Å; angles 60.00, 60.00, 60.00 degrees
Last column: nearest neighbours and their distance in Å.
Positions (direct):
Ca 0.2500 0.2500 0.2500  12 Gd 3.92, 4 Dy 4.09
Gd 0.6269 0.6269 0.1192  6 Gd 3.28-3.39
Gd 0.6269 0.1192 0.6269  6 Gd 3.28-3.39
Gd 0.6269 0.6269 0.6269  6 Gd 3.28-3.39
Gd 0.1192 0.6269 0.6269  6 Gd 3.28-3.39
Dy 0.0000 0.0000 0.0000  12 Gd 3.91, 4 Ca 4.09

Energy of formation from the pure elements = 0.2177 eV per atom
Magnetization = 4.892 μB per atom
E = -10.27 eV per atom
SG = F-43m (216)
Crystal system = cubic

***

VASP calculation (PBE-GGA) on crystalline CaGdDy2 at its relaxed geometry.

Cell lengths 5.1270, 5.1070, 5.1070 Å; angles 90.00, 90.00, 90.00 degrees
Last column: nearest neighbours and their distance in Å.
Positions (direct):
Ca 0.5000 0.5000 0.5000  4 Gd 3.61, 8 Dy 3.62
Gd 0.5000 0.0000 0.0000  4 Ca 3.61, 8 Dy 3.62
Dy 0.0000 0.0000 0.5000  4 Dy 3.61, 4 Gd 3.62, 4 Ca 3.62
Dy 0.0000 0.5000 0.0000  4 Dy 3.61, 4 Gd 3.62, 4 Ca 3.62

Energy of formation from the pure elements = 0.1292 eV per atom
Magnetization = 1.952 μB per atom
E = -6.19 eV per atom
SG = P4/mmm (123)
Crystal system = tetragonal

***

VASP calculation (PBE-GGA) on crystalline CaGdDy2 at its relaxed geometry.

Cell lengths 3.6216, 3.6216, 10.3101 Å; angles 90.00, 90.00, 90.00 degrees
Last column: nearest neighbours and their distance in Å.
Positions (direct):
Ca 0.5000 0.5000 0.5000  4 Ca 3.62, 8 Dy 3.77
Gd 0.5000 0.5000 0.0000  8 Dy 3.50, 4 Gd 3.62
Dy 0.0000 0.0000 0.7682  4 Gd 3.50, 4 Dy 3.62, 4 Ca 3.77
Dy 0.0000 0.0000 0.2318  4 Gd 3.50, 4 Dy 3.62, 4 Ca 3.77

Energy of formation from the pure elements = 0.0764 eV per atom
Magnetization = 1.704 μB per atom
E = -6.25 eV per atom
SG = P4/mmm (123)
Crystal system = tetragonal

***

VASP calculation (PBE-GGA) on crystalline CaGdDyHo at its relaxed geometry.

Cell lengths 5.7422, 5.7422, 5.7422 Å; angles 60.00, 60.00, 60.00 degrees
Last column: nearest neighbours and their distance in Å.
Positions (direct):
Ca 0.2500 0.2500 0.2500  4 Dy 3.52, 4 Gd 3.52
Gd 0.5000 0.5000 0.5000  4 Ho 3.52, 4 Ca 3.52
Ho 0.7500 0.7500 0.7500  4 Gd 3.52, 4 Dy 3.52
Dy 0.0000 0.0000 0.0000  4 Ca 3.52, 4 Ho 3.52

Energy of formation from the pure elements = 0.1534 eV per atom
Magnetization = 1.941 μB per atom
E = -6.16 eV per atom
SG = F-43m (216)
Crystal system = cubic

***

VASP calculation (PBE-GGA) on crystalline CaLaGdDy at its relaxed geometry.

Cell lengths 5.8468, 5.8468, 5.8468 Å; angles 60.00, 60.00, 60.00 degrees
Last column: nearest neighbours and their distance in Å.
Positions (direct):
Ca 0.2500 0.2500 0.2500  4 Gd 3.58, 4 La 3.58
Gd 0.5000 0.5000 0.5000  4 Dy 3.58, 4 Ca 3.58
La 0.0000 0.0000 0.0000  4 Dy 3.58, 4 Ca 3.58
Dy 0.7500 0.7500 0.7500  4 Gd 3.58, 4 La 3.58

Energy of formation from the pure elements = 0.1174 eV per atom
Magnetization = 1.914 μB per atom
E = -6.29 eV per atom
SG = F-43m (216)
Crystal system = cubic

***

VASP calculation (PBE-GGA) on crystalline CaGdDyLu at its relaxed geometry.

Cell lengths 5.7138, 5.7138, 5.7138 Å; angles 60.00, 60.00, 60.00 degrees
Last column: nearest neighbours and their distance in Å.
Positions (direct):
Gd 0.5000 0.5000 0.5000  4 Ca 3.50, 4 Lu 3.50
Ca 0.2500 0.2500 0.2500  4 Gd 3.50, 4 Dy 3.50
Lu 0.7500 0.7500 0.7500  4 Gd 3.50, 4 Dy 3.50
Dy 0.0000 0.0000 0.0000  4 Ca 3.50, 4 Lu 3.50

Energy of formation from the pure elements = 0.1482 eV per atom
Magnetization = 1.883 μB per atom
E = -6.15 eV per atom
SG = F-43m (216)
Crystal system = cubic